# 1
## ZnInFeN2 (PBE)

Data for a relaxed structure of ZnInFeN2.

Unit cell a=3.8344 b=4.5524 c=4.9224 alpha=62.50 beta=78.38 gamma=89.81
Fractional coordinates of all 5 atoms:
Zn 0.0000 0.0000 0.0000
In 0.1781 0.3264 0.3458
Fe 0.1597 0.6262 0.7462
N 0.5866 0.7871 0.4273
N 0.7012 0.6619 0.6761

Properties
Calculated density   5.91 g cm⁻³
Space-group type   No. 1
E_tot   -27.15 eV per cell

---

# 2
## ZnInFeN2 (PBE)

Data for a relaxed structure of ZnInFeN2.

Unit cell a=3.5872 b=3.5872 c=7.7179 alpha=96.99 beta=96.99 gamma=46.43
Fractional coordinates of all 5 atoms:
Zn 0.0000 0.0000 0.0000
In 0.7518 0.7518 0.2713
Fe 0.3407 0.3407 0.5792
N 0.0492 0.0492 0.6128
N 0.9326 0.9326 0.7390

Properties
Calculated density   6.15 g cm⁻³
Space-group type   No. 8
E_tot   -27.45 eV per cell

---

# 3
## ZnInFeN2 (PBE)

Data for a relaxed structure of ZnInFeN2.

Unit cell a=6.0510 b=6.0510 c=6.0510 alpha=151.22 beta=137.96 gamma=51.75
Fractional coordinates of all 5 atoms:
Zn 0.0000 0.0000 0.0000
In 0.3271 0.8271 0.5000
Fe 0.8046 0.3046 0.5000
N 0.4911 0.1319 0.3592
N 0.7727 0.1319 0.6408

Properties
Calculated density   6.17 g cm⁻³
Space-group type   No. 44
E_tot   -27.52 eV per cell

---

# 4
## ZnInFeN2 (PBE)

Data for a relaxed structure of ZnInFeN2.

Unit cell a=3.7806 b=5.6940 c=5.6940 alpha=32.51 beta=90.00 gamma=90.00
Fractional coordinates of all 5 atoms:
Zn 0.0000 0.0000 0.0000
In 0.5000 0.3260 0.3260
Fe 0.5000 0.5670 0.5670
N 0.1686 0.6980 0.6980
N 0.8314 0.6980 0.6980

Properties
Calculated density   6.66 g cm⁻³
Space-group type   No. 38
E_tot   -27.16 eV per cell

---

# 5
## ZnInFeN2 (PBE)

Data for a relaxed structure of ZnInFeN2.

Unit cell a=4.3999 b=7.0559 c=7.0559 alpha=24.26 beta=90.00 gamma=90.00
Fractional coordinates of all 5 atoms:
Zn 0.0000 0.0000 0.0000
In 0.5000 0.1343 0.1343
Fe 0.0000 0.6451 0.6451
N 0.0000 0.7708 0.7708
N 0.0000 0.8549 0.8549

Properties
Calculated density   4.87 g cm⁻³
Space-group type   No. 38
E_tot   -28.37 eV per cell

---

# 6
## ZnInFeN2 (PBE)

Data for a relaxed structure of ZnInFeN2.

Unit cell a=4.6525 b=4.6525 c=4.7658 alpha=90.00 beta=90.00 gamma=120.00
Fractional coordinates of all 5 atoms:
Zn 0.0000 0.0000 0.0000
In 0.3333 0.6667 0.0000
Fe 0.6667 0.3333 0.0000
N 0.6667 0.3333 0.3778
N 0.6667 0.3333 0.6222

Properties
Calculated density   4.91 g cm⁻³
Space-group type   No. 187
E_tot   -28.55 eV per cell

---

# 7
## ZnInFeN2 (PBE)

Data for a relaxed structure of ZnInFeN2.

Unit cell a=3.3340 b=4.9483 c=5.0320 alpha=67.36 beta=72.01 gamma=83.75
Fractional coordinates of all 5 atoms:
Zn 0.0000 0.0000 0.0000
In 0.3882 0.3724 0.3445
Fe 0.1448 0.5463 0.8284
N 0.5655 0.8479 0.4822
N 0.7075 0.6895 0.6908

Properties
Calculated density   6.02 g cm⁻³
Space-group type   No. 1
E_tot   -27.24 eV per cell

---

# 8
## NaIn3Fe (PBE)

Data for a relaxed structure of NaIn3Fe.

Unit cell a=5.0127 b=5.0127 c=5.0127 alpha=90.00 beta=90.00 gamma=90.00
Fractional coordinates of all 5 atoms:
Na 0.0000 0.0000 0.0000
In 0.0000 0.5000 0.5000
In 0.5000 0.0000 0.5000
In 0.5000 0.5000 0.0000
Fe 0.5000 0.5000 0.5000

Properties
Calculated density   5.58 g cm⁻³
Space-group type   No. 221
DFT formation energy   46 meV per atom